Here is crystalline AlCo2Cu2 at its relaxed geometry from Alexandria. Energies are from PBE.

Cell: 5.974 5.974 3.553 Å, 90.00 90.00 90.00°
Positions (direct):
Al 0.000 0.000 0.000
Al 0.500 0.500 0.000
Co 0.131 0.369 0.000
Co 0.369 0.869 0.000
Co 0.631 0.131 0.000
Co 0.869 0.631 0.000
Cu 0.167 0.667 0.500
Cu 0.333 0.167 0.500
Cu 0.667 0.833 0.500
Cu 0.833 0.333 0.500

## Properties
energy of formation from the pure elements: 0.137 eV/atom
SG: No. 127
DOS at the Fermi energy: 8.51 states/eV per cell

---

Here is crystalline AlCo2Cu at its relaxed geometry from Alexandria. Energies are from PBE.

Cell: 5.230 5.239 6.854 Å, 90.00 90.00 90.00°
Positions (direct):
Al 0.000 0.000 0.000
Al 0.000 0.500 0.500
Al 0.500 0.000 0.500
Al 0.500 0.500 0.000
Co 0.000 0.000 0.500
Co 0.000 0.500 0.000
Co 0.250 0.250 0.250
Co 0.250 0.750 0.750
Co 0.500 0.000 0.000
Co 0.500 0.500 0.500
Co 0.750 0.250 0.750
Co 0.750 0.750 0.250
Cu 0.250 0.250 0.750
Cu 0.250 0.750 0.250
Cu 0.750 0.250 0.250
Cu 0.750 0.750 0.750

## Properties
energy of formation from the pure elements: -0.148 eV/atom
SG: No. 22
DOS at the Fermi energy: 15.00 states/eV per cell

---

Here is crystalline AlCo2Cu at its relaxed geometry from Alexandria. Energies are from PBE.

Cell: 3.460 3.460 17.445 Å, 90.00 90.00 90.00°
Positions (direct):
Al 0.000 0.000 0.000
Al 0.000 0.500 0.250
Al 0.500 0.000 0.750
Al 0.500 0.500 0.500
Co 0.246 0.250 0.625
Co 0.250 0.746 0.875
Co 0.250 0.754 0.375
Co 0.254 0.250 0.125
Co 0.746 0.750 0.125
Co 0.750 0.246 0.375
Co 0.750 0.254 0.875
Co 0.754 0.750 0.625
Cu 0.000 0.000 0.500
Cu 0.000 0.500 0.750
Cu 0.500 0.000 0.250
Cu 0.500 0.500 0.000

## Properties
energy of formation from the pure elements: 0.249 eV/atom
SG: No. 122
DOS at the Fermi energy: 17.85 states/eV per cell

---

Here is crystalline Al2CoCu2 at its relaxed geometry from Alexandria. Energies are from PBE.

Cell: 2.734 17.318 2.730 Å, 90.00 90.00 90.00°
Positions (direct):
Al 0.000 0.088 0.000
Al 0.000 0.912 0.000
Al 0.500 0.412 0.000
Al 0.500 0.588 0.000
Co 0.000 0.500 0.500
Co 0.500 0.000 0.500
Cu 0.000 0.312 0.500
Cu 0.000 0.688 0.500
Cu 0.500 0.188 0.500
Cu 0.500 0.812 0.500

## Properties
energy of formation from the pure elements: -0.230 eV/atom
SG: No. 65
DOS at the Fermi energy: 5.52 states/eV per cell
excess energy over the best structure of this formula in the dataset: 0 meV/atom

---

Here is crystalline Al4Co2Cu at its relaxed geometry from Alexandria. Energies are from PBE.

Cell: 4.045 4.045 5.802 Å, 90.00 90.00 90.00°
Positions (direct):
Al 0.000 0.500 0.235
Al 0.000 0.500 0.765
Al 0.500 0.000 0.235
Al 0.500 0.000 0.765
Co 0.000 0.000 0.000
Co 0.500 0.500 0.500
Cu 0.000 0.000 0.500

## Properties
energy of formation from the pure elements: -0.352 eV/atom
SG: No. 123
DOS at the Fermi energy: 4.36 states/eV per cell

---

Here is crystalline AlCoCu at its relaxed geometry from Alexandria. Energies are from PBE.

Cell: 2.870 2.870 8.726 Å, 90.00 90.00 90.00°
Positions (direct):
Al 0.000 0.000 0.000
Al 0.500 0.500 0.500
Co 0.000 0.000 0.652
Co 0.500 0.500 0.152
Cu 0.000 0.000 0.323
Cu 0.500 0.500 0.823

## Properties
energy of formation from the pure elements: -0.210 eV/atom
SG: No. 107
DOS at the Fermi energy: 3.83 states/eV per cell
excess energy over the best structure of this formula in the dataset: 77 meV/atom

---

Here is crystalline AlCoCu at its relaxed geometry from Alexandria. Energies are from PBE.

Cell: 2.829 12.451 4.044 Å, 90.00 90.00 90.00°
Positions (direct):
Al 0.000 0.080 0.250
Al 0.000 0.920 0.750
Al 0.500 0.420 0.750
Al 0.500 0.580 0.250
Co 0.000 0.418 0.250
Co 0.000 0.582 0.750
Co 0.500 0.082 0.750
Co 0.500 0.918 0.250
Cu 0.000 0.252 0.750
Cu 0.000 0.748 0.250
Cu 0.500 0.248 0.250
Cu 0.500 0.752 0.750

## Properties
energy of formation from the pure elements: -0.287 eV/atom
SG: No. 63
DOS at the Fermi energy: 9.88 states/eV per cell
excess energy over the best structure of this formula in the dataset: 0 meV/atom

---

Here is crystalline AlCo2Cu at its relaxed geometry from Alexandria. Energies are from PBE.

Cell: 2.673 3.349 5.283 Å, 90.00 90.00 90.00°
Positions (direct):
Al 0.000 0.000 0.000
Co 0.000 0.000 0.481
Co 0.500 0.500 0.260
Cu 0.500 0.500 0.740

## Properties
energy of formation from the pure elements: -0.123 eV/atom
SG: No. 25
DOS at the Fermi energy: 3.06 states/eV per cell

---

Here is crystalline Al2CoCu2 at its relaxed geometry from Alexandria. Energies are from PBE.

Cell: 6.817 6.817 2.800 Å, 90.00 90.00 90.00°
Positions (direct):
Al 0.175 0.325 0.000
Al 0.325 0.825 0.000
Al 0.675 0.175 0.000
Al 0.825 0.675 0.000
Co 0.000 0.000 0.500
Co 0.500 0.500 0.500
Cu 0.126 0.626 0.500
Cu 0.374 0.126 0.500
Cu 0.626 0.874 0.500
Cu 0.874 0.374 0.500

## Properties
energy of formation from the pure elements: -0.054 eV/atom
SG: No. 127
DOS at the Fermi energy: 9.27 states/eV per cell
excess energy over the best structure of this formula in the dataset: 176 meV/atom

---

Here is crystalline AlCo2Cu at its relaxed geometry from Alexandria. Energies are from PBE.

Cell: 8.477 2.667 4.304 Å, 90.00 103.90 90.00°
Positions (direct):
Al 0.000 0.000 0.000
Al 0.500 0.500 0.000
Co 0.247 0.500 0.248
Co 0.253 0.000 0.752
Co 0.747 0.000 0.248
Co 0.753 0.500 0.752
Cu 0.000 0.500 0.500
Cu 0.500 0.000 0.500

## Properties
energy of formation from the pure elements: -0.093 eV/atom
SG: No. 12
DOS at the Fermi energy: 8.83 states/eV per cell

---

Here is crystalline Al6CoCu3 at its relaxed geometry from Alexandria. Energies are from PBE.

Cell: 4.112 4.112 9.947 Å, 90.00 90.00 120.00°
Positions (direct):
Al 0.000 0.000 0.000
Al 0.000 0.000 0.467
Al 0.333 0.667 0.183
Al 0.333 0.667 0.667
Al 0.667 0.333 0.324
Al 0.667 0.333 0.818
Co 0.333 0.667 0.425
Cu 0.333 0.667 0.921
Cu 0.667 0.333 0.071
Cu 0.667 0.333 0.571

## Properties
energy of formation from the pure elements: -0.301 eV/atom
SG: No. 156
DOS at the Fermi energy: 1.93 states/eV per cell
excess energy over the best structure of this formula in the dataset: 0 meV/atom

---

Here is crystalline DyAl3CoCu at its relaxed geometry from Alexandria. Energies are from PBE.

Cell: 6.728 6.728 5.552 Å, 90.00 90.00 125.30°
Positions (direct):
Dy 0.230 0.770 0.750
Dy 0.770 0.230 0.250
Al 0.207 0.207 0.000
Al 0.207 0.207 0.500
Al 0.360 0.640 0.250
Al 0.640 0.360 0.750
Al 0.793 0.793 0.000
Al 0.793 0.793 0.500
Co 0.441 0.559 0.750
Co 0.559 0.441 0.250
Cu 0.149 0.851 0.250
Cu 0.851 0.149 0.750

## Properties
energy of formation from the pure elements: -0.280 eV/atom
SG: No. 63
DOS at the Fermi energy: 6.72 states/eV per cell

---

Here is crystalline ErAl3CoCu at its relaxed geometry from Alexandria. Energies are from PBE.

Cell: 6.715 6.715 5.523 Å, 90.00 90.00 125.31°
Positions (direct):
Er 0.229 0.771 0.750
Er 0.771 0.229 0.250
Al 0.207 0.207 0.000
Al 0.207 0.207 0.500
Al 0.360 0.640 0.250
Al 0.640 0.360 0.750
Al 0.793 0.793 0.000
Al 0.793 0.793 0.500
Co 0.440 0.560 0.750
Co 0.560 0.440 0.250
Cu 0.150 0.850 0.250
Cu 0.850 0.150 0.750

## Properties
energy of formation from the pure elements: -0.278 eV/atom
SG: No. 63
DOS at the Fermi energy: 6.72 states/eV per cell

---

Here is crystalline AlGa2CoCu at its relaxed geometry from Alexandria. Energies are from PBE.

Cell: 4.796 4.796 4.496 Å, 90.00 90.00 90.00°
Positions (direct):
Al 0.000 0.000 0.000
Ga 0.000 0.500 0.000
Ga 0.500 0.000 0.000
Co 0.500 0.500 0.500
Cu 0.000 0.000 0.500

## Properties
energy of formation from the pure elements: 0.994 eV/atom
SG: No. 123
DOS at the Fermi energy: 24.96 states/eV per cell

---

Here is crystalline AlGaCoCu at its relaxed geometry from Alexandria. Energies are from PBE.

Cell: 5.864 5.864 5.864 Å, 90.00 90.00 90.00°
Positions (direct):
Al 0.000 0.000 0.000
Al 0.000 0.500 0.500
Al 0.500 0.000 0.500
Al 0.500 0.500 0.000
Ga 0.000 0.000 0.500
Ga 0.000 0.500 0.000
Ga 0.500 0.000 0.000
Ga 0.500 0.500 0.500
Co 0.250 0.250 0.750
Co 0.250 0.750 0.250
Co 0.750 0.250 0.250
Co 0.750 0.750 0.750
Cu 0.250 0.250 0.250
Cu 0.250 0.750 0.750
Cu 0.750 0.250 0.750
Cu 0.750 0.750 0.250

## Properties
energy of formation from the pure elements: -0.234 eV/atom
SG: No. 216
DOS at the Fermi energy: 10.80 states/eV per cell

---

Here is crystalline HoAl3CoCu at its relaxed geometry from Alexandria. Energies are from PBE.

Cell: 6.722 6.722 5.537 Å, 90.00 90.00 125.31°
Positions (direct):
Ho 0.230 0.770 0.750
Ho 0.770 0.230 0.250
Al 0.207 0.207 0.000
Al 0.207 0.207 0.500
Al 0.360 0.640 0.250
Al 0.640 0.360 0.750
Al 0.793 0.793 0.000
Al 0.793 0.793 0.500
Co 0.440 0.560 0.750
Co 0.560 0.440 0.250
Cu 0.149 0.851 0.250
Cu 0.851 0.149 0.750

## Properties
energy of formation from the pure elements: -0.279 eV/atom
SG: No. 63
DOS at the Fermi energy: 6.68 states/eV per cell

---

Here is crystalline AlCoCuIr at its relaxed geometry from Alexandria. Energies are from PBE.

Cell: 5.881 5.881 5.881 Å, 90.00 90.00 90.00°
Positions (direct):
Al 0.000 0.000 0.000
Al 0.000 0.500 0.500
Al 0.500 0.000 0.500
Al 0.500 0.500 0.000
Co 0.250 0.250 0.750
Co 0.250 0.750 0.250
Co 0.750 0.250 0.250
Co 0.750 0.750 0.750
Cu 0.000 0.000 0.500
Cu 0.000 0.500 0.000
Cu 0.500 0.000 0.000
Cu 0.500 0.500 0.500
Ir 0.250 0.250 0.250
Ir 0.250 0.750 0.750
Ir 0.750 0.250 0.750
Ir 0.750 0.750 0.250

## Properties
energy of formation from the pure elements: -0.268 eV/atom
SG: No. 216
DOS at the Fermi energy: 18.42 states/eV per cell

---

Here is crystalline La2AlCoCu at its relaxed geometry from Alexandria. Energies are from PBE.

Cell: 5.252 5.252 4.584 Å, 90.00 90.00 90.00°
Positions (direct):
La 0.000 0.500 0.000
La 0.500 0.000 0.000
Al 0.000 0.000 0.500
Co 0.000 0.000 0.000
Cu 0.500 0.500 0.500

## Properties
energy of formation from the pure elements: -0.127 eV/atom
SG: No. 123
DOS at the Fermi energy: 3.69 states/eV per cell

---

Here is crystalline Li2AlCoCu at its relaxed geometry from Alexandria. Energies are from PBE.

Cell: 4.273 4.273 4.574 Å, 90.00 90.00 90.00°
Positions (direct):
Li 0.000 0.500 0.000
Li 0.500 0.000 0.000
Al 0.000 0.000 0.500
Co 0.500 0.500 0.500
Cu 0.000 0.000 0.000

## Properties
energy of formation from the pure elements: 0.581 eV/atom
SG: No. 123
DOS at the Fermi energy: 3.79 states/eV per cell

---

Here is crystalline MgAlCoCu at its relaxed geometry from Alexandria. Energies are from PBE.

Cell: 5.974 5.974 5.974 Å, 90.00 90.00 90.00°
Positions (direct):
Mg 0.000 0.000 0.000
Mg 0.000 0.500 0.500
Mg 0.500 0.000 0.500
Mg 0.500 0.500 0.000
Al 0.000 0.000 0.500
Al 0.000 0.500 0.000
Al 0.500 0.000 0.000
Al 0.500 0.500 0.500
Co 0.250 0.250 0.250
Co 0.250 0.750 0.750
Co 0.750 0.250 0.750
Co 0.750 0.750 0.250
Cu 0.250 0.250 0.750
Cu 0.250 0.750 0.250
Cu 0.750 0.250 0.250
Cu 0.750 0.750 0.750

## Properties
energy of formation from the pure elements: -0.177 eV/atom
SG: No. 216
DOS at the Fermi energy: 11.88 states/eV per cell

---

Here is crystalline AlCoCuMo at its relaxed geometry from Alexandria. Energies are from PBE.

Cell: 5.938 5.938 5.938 Å, 90.00 90.00 90.00°
Positions (direct):
Al 0.000 0.000 0.000
Al 0.000 0.500 0.500
Al 0.500 0.000 0.500
Al 0.500 0.500 0.000
Co 0.250 0.250 0.250
Co 0.250 0.750 0.750
Co 0.750 0.250 0.750
Co 0.750 0.750 0.250
Cu 0.250 0.250 0.750
Cu 0.250 0.750 0.250
Cu 0.750 0.250 0.250
Cu 0.750 0.750 0.750
Mo 0.000 0.000 0.500
Mo 0.000 0.500 0.000
Mo 0.500 0.000 0.000
Mo 0.500 0.500 0.500

## Properties
energy of formation from the pure elements: -0.046 eV/atom
SG: No. 216
DOS at the Fermi energy: 15.53 states/eV per cell

---

Here is crystalline Nb2AlCoCu at its relaxed geometry from Alexandria. Energies are from PBE.

Cell: 4.649 4.649 4.238 Å, 90.00 90.00 90.00°
Positions (direct):
Nb 0.000 0.500 0.000
Nb 0.500 0.000 0.000
Al 0.000 0.000 0.500
Co 0.500 0.500 0.500
Cu 0.000 0.000 0.000

## Properties
energy of formation from the pure elements: 1.074 eV/atom
SG: No. 123
DOS at the Fermi energy: 5.80 states/eV per cell

---

Here is crystalline Nb2Al5Co2Cu at its relaxed geometry from Alexandria. Energies are from PBE.

Cell: 8.793 8.793 3.762 Å, 90.00 90.00 90.00°
Positions (direct):
Nb 0.181 0.319 0.000
Nb 0.319 0.819 0.000
Nb 0.681 0.181 0.000
Nb 0.819 0.681 0.000
Al 0.000 0.500 0.500
Al 0.060 0.792 0.500
Al 0.208 0.060 0.500
Al 0.292 0.560 0.500
Al 0.440 0.292 0.500
Al 0.500 0.000 0.500
Al 0.560 0.708 0.500
Al 0.708 0.440 0.500
Al 0.792 0.940 0.500
Al 0.940 0.208 0.500
Co 0.117 0.617 0.000
Co 0.383 0.117 0.000
Co 0.617 0.883 0.000
Co 0.883 0.383 0.000
Cu 0.000 0.000 0.000
Cu 0.500 0.500 0.000

## Properties
energy of formation from the pure elements: -0.326 eV/atom
SG: No. 127
DOS at the Fermi energy: 10.34 states/eV per cell

---

Here is crystalline NbAl2CoCu at its relaxed geometry from Alexandria. Energies are from PBE.

Cell: 4.386 4.386 4.529 Å, 90.00 90.00 90.00°
Positions (direct):
Nb 0.000 0.000 0.000
Al 0.000 0.500 0.500
Al 0.500 0.000 0.500
Co 0.000 0.000 0.500
Cu 0.500 0.500 0.000

## Properties
energy of formation from the pure elements: 0.302 eV/atom
SG: No. 123
DOS at the Fermi energy: 3.84 states/eV per cell

---

Here is crystalline AlCoCuNi at its relaxed geometry from Alexandria. Energies are from PBE.

Cell: 5.691 5.691 5.691 Å, 90.00 90.00 90.00°
Positions (direct):
Al 0.000 0.000 0.000
Al 0.000 0.500 0.500
Al 0.500 0.000 0.500
Al 0.500 0.500 0.000
Co 0.250 0.250 0.250
Co 0.250 0.750 0.750
Co 0.750 0.250 0.750
Co 0.750 0.750 0.250
Cu 0.000 0.000 0.500
Cu 0.000 0.500 0.000
Cu 0.500 0.000 0.000
Cu 0.500 0.500 0.500
Ni 0.250 0.250 0.750
Ni 0.250 0.750 0.250
Ni 0.750 0.250 0.250
Ni 0.750 0.750 0.750

## Properties
energy of formation from the pure elements: -0.268 eV/atom
SG: No. 216
DOS at the Fermi energy: 13.69 states/eV per cell

---

Here is crystalline Al4CoCuNi2 at its relaxed geometry from Alexandria. Energies are from PBE.

Cell: 7.143 7.143 7.143 Å, 33.33 33.33 33.33°
Positions (direct):
Al 0.123 0.123 0.123
Al 0.373 0.373 0.373
Al 0.627 0.627 0.627
Al 0.877 0.877 0.877
Co 0.000 0.000 0.000
Cu 0.500 0.500 0.500
Ni 0.251 0.251 0.251
Ni 0.749 0.749 0.749

## Properties
energy of formation from the pure elements: -0.535 eV/atom
SG: No. 166
DOS at the Fermi energy: 2.88 states/eV per cell